An optimized crystal structure of Sm5Ho6Tm2, computed with PBE-GGA.

Computed properties:
The value obtained for the total DFT energy (no corrections) is -4.5192 eV per atom. The volume comes out at 843 Å³ per cell. The calculation puts the size of the total moment at 0.0 μB per cell. The value obtained for the formation energy is 0.097 eV per atom. For the density of states at the Fermi level, the calculation gives 15.38 states/eV/f.u. The value obtained for the density is 8.19 g cm⁻³.

a b c (Å): 11.578 20.390 3.570
angles (deg): 90.00 90.00 90.00
Space group Pbam (No. 55)
Inequivalent atoms, fractional coordinates:
Sm 0.000 0.000 0.000
Sm 0.084 0.272 0.000
Sm 0.199 0.551 0.000
Ho 0.061 0.418 0.500
Ho 0.081 0.131 0.500
Ho 0.174 0.861 0.000
Tm 0.171 0.710 0.500



An optimized crystal structure of Pr8Ho3Sc2, computed with PBE-GGA.

Computed properties:
The value obtained for the total DFT energy (no corrections) is -4.7617 eV per atom. The volume comes out at 893 Å³ per cell. The calculation puts the size of the total moment at 0.0 μB per cell. As for the energy above the lowest structure with this stoichiometry: 0.046 eV per atom. The value obtained for the formation energy is 0.210 eV per atom. For the density of states at the Fermi level, the calculation gives 17.77 states/eV/f.u. The value obtained for the density is 6.37 g cm⁻³.

a b c (Å): 19.881 7.832 5.736
angles (deg): 90.00 90.02 90.00
Space group C2/m (No. 12)
Inequivalent atoms, fractional coordinates:
Pr 0.110 0.204 0.000
Pr 0.131 0.500 0.500
Pr 0.180 0.000 0.501
Ho 0.000 0.212 0.500
Ho 0.000 0.500 0.000
Sc 0.239 0.500 0.999



An optimized crystal structure of LiZrHgIr, computed with PBE-GGA.

Computed properties:
The value obtained for the total DFT energy (no corrections) is -5.1998 eV per atom. The volume comes out at 285 Å³ per cell. The calculation puts the size of the total moment at 0.0 μB per cell. The value obtained for the formation energy is -0.294 eV per atom. For the density of states at the Fermi level, the calculation gives 2.70 states/eV/f.u. The value obtained for the density is 11.45 g cm⁻³.

a b c (Å): 6.580 6.580 6.580
angles (deg): 90.00 90.00 90.00
Space group F-43m (No. 216)
Inequivalent atoms, fractional coordinates:
Li 0.000 0.000 0.000
Zr 0.000 0.000 0.500
Hg 0.250 0.250 0.750
Ir 0.250 0.250 0.250



An optimized crystal structure of As3C, computed with PBE-GGA.

Computed properties:
The value obtained for the total DFT energy (no corrections) is -4.8579 eV per atom. The volume comes out at 139 Å³ per cell. The calculation puts the size of the total moment at 0.0 μB per cell. As for the energy above the lowest structure with this stoichiometry: 0.394 eV per atom. The value obtained for the formation energy is 0.935 eV per atom. For the density of states at the Fermi level, the calculation gives 1.40 states/eV/f.u. The value obtained for the density is 5.66 g cm⁻³.

a b c (Å): 7.232 2.985 6.970
angles (deg): 90.00 112.46 90.00
Space group C2/m (No. 12)
Inequivalent atoms, fractional coordinates:
As 0.000 0.000 0.000
As 0.154 0.000 0.703
C 0.000 0.500 0.500



An optimized crystal structure of Mg4ZrCr, computed with PBE-GGA.

Computed properties:
The value obtained for the total DFT energy (no corrections) is -3.7392 eV per atom. The volume comes out at 508 Å³ per cell. The calculation puts the size of the total moment at 8.1 μB per cell. The value obtained for the formation energy is 0.352 eV per atom. For the density of states at the Fermi level, the calculation gives 4.94 states/eV/f.u. The value obtained for the density is 3.14 g cm⁻³.

a b c (Å): 7.978 7.978 7.978
angles (deg): 90.00 90.00 90.00
Space group F-43m (No. 216)
Inequivalent atoms, fractional coordinates:
Mg 0.125 0.125 0.125
Zr 0.250 0.250 0.750
Cr 0.000 0.000 0.500



An optimized crystal structure of FeTc2Hg, computed with PBE-GGA.

Computed properties:
The value obtained for the total DFT energy (no corrections) is -6.9709 eV per atom. The volume comes out at 61 Å³ per cell. The calculation puts the size of the total moment at 1.1 μB per cell. The value obtained for the formation energy is 0.403 eV per atom. For the density of states at the Fermi level, the calculation gives 3.79 states/eV/f.u. The value obtained for the density is 12.42 g cm⁻³.

a b c (Å): 2.785 2.785 7.803
angles (deg): 90.00 90.00 90.00
Space group P4/mmm (No. 123)
Inequivalent atoms, fractional coordinates:
Fe 0.000 0.000 0.000
Tc 0.500 0.500 0.211
Hg 0.000 0.000 0.500



An optimized crystal structure of CdTe2SeO, computed with PBE-GGA.

Computed properties:
The value obtained for the total DFT energy (no corrections) is -2.9405 eV per atom. The volume comes out at 111 Å³ per cell. Its energy relative to the elements, uncorrected is 0.188 eV per atom. The calculation puts the size of the total moment at 0.0 μB per cell. For the density of states at the Fermi level, the calculation gives 2.56 states/eV/f.u. The value obtained for the density is 6.91 g cm⁻³.

a b c (Å): 4.798 4.798 4.826
angles (deg): 90.00 90.00 90.00
Space group P4/mmm (No. 123)
Inequivalent atoms, fractional coordinates:
Cd 0.000 0.000 0.000
Te 0.000 0.500 0.500
Se 0.500 0.500 0.000
O 0.500 0.500 0.500



An optimized crystal structure of LiCa2Pm, computed with PBE-GGA.

Computed properties:
The value obtained for the total DFT energy (no corrections) is -2.5680 eV per atom. The volume comes out at 421 Å³ per cell. The calculation puts the size of the total moment at 0.0 μB per cell. As for the energy above the lowest structure with this stoichiometry: 0.015 eV per atom. The value obtained for the formation energy is 0.099 eV per atom. For the density of states at the Fermi level, the calculation gives 4.55 states/eV/f.u. The value obtained for the density is 2.75 g cm⁻³.

a b c (Å): 3.7395 3.7395 34.7388
angles (deg): 90.00 90.00 120.00
Space group R3m (No. 160, hexagonal axes)
Inequivalent atoms, fractional coordinates:
Li 0.0000 0.0000 0.0000
Ca 0.0000 0.0000 0.4124
Ca 0.0000 0.0000 0.5880
Pm 0.0000 0.0000 0.8339